Compound: KBa2As
Source: Alexandria
Functional: PBE
Structure: optimized geometry

Properties
V, Å³/atom: 53.4

abc: 10.1299 10.1299 8.3202
angles: 90.00 90.00 90.00
With the nearest neighbours (Å) after each atom.
Space group I-42d (No. 122)
One atom of each set of equivalent atoms:
K1 0.0000 0.0000 0.0000  2 As 4.16, 8 Ba 4.33-4.41
Ba1 0.1584 0.2500 0.6250  2 As 3.17
As1 0.0000 0.0000 0.5000  4 Ba 3.17

***

Compound: K2BaAs
Source: Alexandria
Functional: PBE
Structure: optimized geometry

Properties
V, Å³/atom: 52.2

abc: 4.8481 4.4851 9.9048
angles: 90.00 104.13 90.00
With the nearest neighbours (Å) after each atom.
Space group Pm (No. 6)
One atom of each set of equivalent atoms:
K1 0.0000 0.0000 0.0000  1 As 3.40
K2 0.3146 0.5000 0.6265  2 As 3.45
Ba1 0.6513 0.5000 0.3018  4 As 3.34
As1 0.1771 0.0000 0.3541  4 Ba 3.34, 3 K 3.40-3.45

***

Compound: K2BaAs
Source: Alexandria
Functional: PBE
Structure: optimized geometry

Properties
V, Å³/atom: 53.1

abc: 4.3851 5.8738 16.5075
angles: 90.00 90.00 90.00
With the nearest neighbours (Å) after each atom.
Space group Imm2 (No. 44)
One atom of each set of equivalent atoms:
K1 0.0000 0.0000 0.0000  2 As 3.36, 2 K 3.69
K2 0.0000 0.5000 0.1356  4 As 3.68, 2 K 3.69, 2 Ba 3.86
Ba1 0.0000 0.0000 0.2870  2 As 3.10
As1 0.0000 0.5000 0.6542  2 Ba 3.10, 2 K 3.36

***

Number 1: magnetization 0.000 μB per atom, ΔH_f (0 K) -416 meV per atom. Number 2: magnetization 0.000 μB per atom, ΔH_f (0 K) -460 meV per atom. Number 3: magnetization 0.053 μB per atom, ΔH_f (0 K) -330 meV per atom.